## BaZnPt2 (GGA-PBE)

Data for a geometry-optimized BaZnPt2 structure.

- VASP energy: -4.02 eV/atom
- Density of states at the Fermi level: 0.2731 states/eV/atom
- Formation energy from the elements: -0.81 eV per formula unit

```
data_BaZnPt2
_chemical_formula_sum 'Ba1 Zn1 Pt2'
_cell_length_a 5.722
_cell_length_b 5.722
_cell_length_c 5.722
_cell_angle_alpha 142.86
_cell_angle_beta 126.47
_cell_angle_gamma 66.95
_symmetry_space_group_name_H-M 'P 1'
_symmetry_Int_Tables_number 1
loop_
_symmetry_equiv_pos_as_xyz
'x,y,z'
loop_
_atom_site_label
_atom_site_fract_x
_atom_site_fract_y
_atom_site_fract_z
_atom_site_occupancy
Ba1 0.000 0.000 0.000 1
Zn1 0.299 0.799 0.500 1
Pt1 0.489 0.489 0.000 1
Pt2 0.712 0.212 0.500 1
```

---

## BaZn2Pt (GGA-PBE)

Data for a geometry-optimized BaZn2Pt structure.

- VASP energy: -3.16 eV/atom
- Density of states at the Fermi level: 0.5088 states/eV/atom
- Formation energy from the elements: -2.12 eV per formula unit

```
data_BaZn2Pt
_chemical_formula_sum 'Ba1 Zn2 Pt1'
_cell_length_a 6.310
_cell_length_b 6.310
_cell_length_c 6.310
_cell_angle_alpha 41.09
_cell_angle_beta 41.09
_cell_angle_gamma 41.09
_symmetry_space_group_name_H-M 'P 1'
_symmetry_Int_Tables_number 1
loop_
_symmetry_equiv_pos_as_xyz
'x,y,z'
loop_
_atom_site_label
_atom_site_fract_x
_atom_site_fract_y
_atom_site_fract_z
_atom_site_occupancy
Ba1 0.000 0.000 0.000 1
Zn1 0.196 0.196 0.196 1
Zn2 0.804 0.804 0.804 1
Pt1 0.500 0.500 0.500 1
```

---

## Ba2Zn15Pt2 (GGA-PBE)

Data for a geometry-optimized Ba2Zn15Pt2 structure.

- VASP energy: -2.08 eV/atom
- Density of states at the Fermi level: 0.5180 states/eV/atom
- Formation energy from the elements: -4.42 eV per formula unit

```
data_Ba2Zn15Pt2
_chemical_formula_sum 'Ba2 Zn15 Pt2'
_cell_length_a 7.057
_cell_length_b 7.057
_cell_length_c 7.057
_cell_angle_alpha 82.66
_cell_angle_beta 82.66
_cell_angle_gamma 82.66
_symmetry_space_group_name_H-M 'P 1'
_symmetry_Int_Tables_number 1
loop_
_symmetry_equiv_pos_as_xyz
'x,y,z'
loop_
_atom_site_label
_atom_site_fract_x
_atom_site_fract_y
_atom_site_fract_z
_atom_site_occupancy
Ba1 0.153 0.153 0.153 1
Ba2 0.847 0.847 0.847 1
Zn1 0.000 0.500 0.500 1
Zn2 0.162 0.162 0.641 1
Zn3 0.162 0.641 0.162 1
Zn4 0.224 0.500 0.776 1
Zn5 0.224 0.776 0.500 1
Zn6 0.359 0.838 0.838 1
Zn7 0.500 0.000 0.500 1
Zn8 0.500 0.224 0.776 1
Zn9 0.500 0.500 0.000 1
Zn10 0.500 0.776 0.224 1
Zn11 0.641 0.162 0.162 1
Zn12 0.776 0.224 0.500 1
Zn13 0.776 0.500 0.224 1
Zn14 0.838 0.359 0.838 1
Zn15 0.838 0.838 0.359 1
Pt1 0.392 0.392 0.392 1
Pt2 0.608 0.608 0.608 1
```

---

## Ba3Zn6Pt5 (GGA-PBE)

Data for a geometry-optimized Ba3Zn6Pt5 structure.

- VASP energy: -3.70 eV/atom
- Density of states at the Fermi level: 0.3445 states/eV/atom
- Formation energy from the elements: -8.14 eV per formula unit

```
data_Ba3Zn6Pt5
_chemical_formula_sum 'Ba6 Zn12 Pt10'
_cell_length_a 4.391
_cell_length_b 12.978
_cell_length_c 10.898
_cell_angle_alpha 90.00
_cell_angle_beta 90.00
_cell_angle_gamma 90.00
_symmetry_space_group_name_H-M 'P 1'
_symmetry_Int_Tables_number 1
loop_
_symmetry_equiv_pos_as_xyz
'x,y,z'
loop_
_atom_site_label
_atom_site_fract_x
_atom_site_fract_y
_atom_site_fract_z
_atom_site_occupancy
Ba1 0.250 0.093 0.246 1
Ba2 0.250 0.407 0.246 1
Ba3 0.250 0.750 0.249 1
Ba4 0.750 0.250 0.751 1
Ba5 0.750 0.593 0.754 1
Ba6 0.750 0.907 0.754 1
Zn1 0.250 0.055 0.915 1
Zn2 0.250 0.250 0.000 1
Zn3 0.250 0.250 0.517 1
Zn4 0.250 0.445 0.915 1
Zn5 0.250 0.574 0.492 1
Zn6 0.250 0.926 0.492 1
Zn7 0.750 0.074 0.508 1
Zn8 0.750 0.426 0.508 1
Zn9 0.750 0.555 0.085 1
Zn10 0.750 0.750 0.000 1
Zn11 0.750 0.750 0.483 1
Zn12 0.750 0.945 0.085 1
Pt1 0.250 0.077 0.650 1
Pt2 0.250 0.423 0.650 1
Pt3 0.250 0.639 0.987 1
Pt4 0.250 0.750 0.600 1
Pt5 0.250 0.861 0.987 1
Pt6 0.750 0.139 0.013 1
Pt7 0.750 0.250 0.400 1
Pt8 0.750 0.361 0.013 1
Pt9 0.750 0.577 0.350 1
Pt10 0.750 0.923 0.350 1
```